First-principles (GGA+U) data for an optimized crystal structure of Na2NiH12S2O14, as listed in Alexandria.

ρ	2.2	g/cm³
VASP energy	-326.32	eV/cell
crystal system	monoclinic
calculated volume	10.0	Å³ per atom
DOS(E_F)	0.0	states/eV per cell

Structure (CIF):
```
data_Na2NiH12S2O14
_chemical_formula_sum 'Na4 Ni2 H24 S4 O28'
_cell_length_a 5.930
_cell_length_b 12.359
_cell_length_c 8.715
_cell_angle_alpha 90.00
_cell_angle_beta 104.85
_cell_angle_gamma 90.00
_space_group_name_H-M_alt 'P 1 21/c 1'
_space_group_IT_number 14
loop_
_space_group_symop_operation_xyz
'x,y,z'
'-x,-y,-z'
'-x,y+1/2,-z+1/2'
'x,-y+1/2,z+1/2'
loop_
_atom_site_label
_atom_site_type_symbol
_atom_site_fract_x
_atom_site_fract_y
_atom_site_fract_z
_atom_site_occupancy
Na1 Na 0.160 0.140 0.332 1
Ni1 Ni 0.500 0.000 0.000 1
H1 H 0.159 0.565 0.609 1
H2 H 0.164 0.079 0.768 1
H3 H 0.167 0.646 0.466 1
H4 H 0.400 0.116 0.728 1
H5 H 0.416 0.620 0.240 1
H6 H 0.460 0.195 0.117 1
S1 S 0.232 0.644 0.922 1
O1 O 0.097 0.744 0.860 1
O2 O 0.143 0.554 0.807 1
O3 O 0.193 0.570 0.504 1
O4 O 0.195 0.616 0.079 1
O5 O 0.328 0.101 0.817 1
O6 O 0.447 0.123 0.164 1
O7 O 0.487 0.662 0.936 1
```